(1)
# PBE Ac12Sm7Ho, relaxed
# E ... -4.1537 eV/atom
# Calculated formation energy ... 192 meV per atom
data_Ac12Sm7Ho
_chemical_formula_sum 'Ac36 Sm21 Ho3'
_space_group_name_H-M_alt 'R -3 m'
_space_group_IT_number 166
_space_group_name_Hall '-R 3 2"'
_cell_length_a 20.7906
_cell_length_b 20.7906
_cell_length_c 6.6657
_cell_angle_alpha 90.00
_cell_angle_beta 90.00
_cell_angle_gamma 120.00
loop_
_atom_site_label
_atom_site_fract_x
_atom_site_fract_y
_atom_site_fract_z
_atom_site_occupancy
Ac1 0.0000 0.4125 0.0000 1
Ac2 0.1030 0.5515 0.4832 1
Sm1 0.0000 0.0000 0.0000 1
Sm2 0.0806 0.1612 0.3125 1
Ho1 0.0000 0.0000 0.5000 1

---

(2)
# PBE CaNi2W, relaxed
# E ... -5.8885 eV/atom
# Energy relative to the lowest polymorph listed for this composition ... 584 meV per atom
# Calculated formation energy ... 741 meV per atom
data_CaNi2W
_chemical_formula_sum 'Ca4 Ni8 W4'
_space_group_name_H-M_alt 'F -4 3 m'
_space_group_IT_number 216
_space_group_name_Hall 'F -4 2 3'
_cell_length_a 6.208
_cell_length_b 6.208
_cell_length_c 6.208
_cell_angle_alpha 90.00
_cell_angle_beta 90.00
_cell_angle_gamma 90.00
loop_
_atom_site_label
_atom_site_fract_x
_atom_site_fract_y
_atom_site_fract_z
_atom_site_occupancy
Ca1 0.000 0.000 0.000 1
Ni1 0.000 0.000 0.500 1
Ni2 0.250 0.250 0.750 1
W1 0.250 0.250 0.250 1

---

(3)
# PBE InIrAu2, relaxed
# E ... -4.3109 eV/atom
# Calculated formation energy ... 228 meV per atom
data_InIrAu2
_chemical_formula_sum 'In4 Ir4 Au8'
_space_group_name_H-M_alt 'I -4 2 d'
_space_group_IT_number 122
_space_group_name_Hall 'I -4 2bw'
_cell_length_a 3.914
_cell_length_b 3.914
_cell_length_c 20.038
_cell_angle_alpha 90.00
_cell_angle_beta 90.00
_cell_angle_gamma 90.00
loop_
_atom_site_label
_atom_site_fract_x
_atom_site_fract_y
_atom_site_fract_z
_atom_site_occupancy
In1 0.000 0.000 0.000 1
Ir1 0.000 0.000 0.500 1
Au1 0.243 0.250 0.625 1

---

(4)
# PBE Pm4PtSe2I, relaxed
# Formation energy from raw total energies ... -1.39 eV/atom
# E ... -5.5898 eV/atom
data_Pm4PtSe2I
_chemical_formula_sum 'Pm4 Pt1 Se2 I1'
_space_group_name_H-M_alt 'P 1 2/m 1'
_space_group_IT_number 10
_cell_length_a 7.511
_cell_length_b 4.128
_cell_length_c 7.558
_cell_angle_alpha 90.00
_cell_angle_beta 107.91
_cell_angle_gamma 90.00
loop_
_space_group_symop_operation_xyz
'x,y,z'
'-x,-y,-z'
'-x,y,-z'
'x,-y,z'
loop_
_atom_site_label
_atom_site_fract_x
_atom_site_fract_y
_atom_site_fract_z
_atom_site_occupancy
Pm1 0.226 0.000 0.222 1
Pm2 0.262 0.500 0.778 1
Pt1 0.500 0.000 0.000 1
Se1 0.000 0.000 0.500 1
Se2 0.000 0.500 0.000 1
I1 0.500 0.500 0.500 1

---

(5)
# PBE Mo2As, relaxed
# E ... -8.7441 eV/atom
# Energy relative to the lowest polymorph listed for this composition ... 60 meV per atom
# Calculated formation energy ... 26 meV per atom
data_Mo2As
_chemical_formula_sum 'Mo8 As4'
_space_group_name_H-M_alt 'C 1 2/m 1'
_space_group_IT_number 12
_cell_length_a 9.109
_cell_length_b 3.133
_cell_length_c 6.946
_cell_angle_alpha 90.00
_cell_angle_beta 107.58
_cell_angle_gamma 90.00
loop_
_space_group_symop_operation_xyz
'x,y,z'
'-x,-y,-z'
'-x,y,-z'
'x,-y,z'
'x+1/2,y+1/2,z'
'-x+1/2,-y+1/2,-z'
'-x+1/2,y+1/2,-z'
'x+1/2,-y+1/2,z'
loop_
_atom_site_label
_atom_site_fract_x
_atom_site_fract_y
_atom_site_fract_z
_atom_site_occupancy
Mo1 0.153 0.000 0.035 1
Mo2 0.172 0.000 0.624 1
As1 0.029 0.500 0.285 1

---

(6)
# PBE Th3ScTe3, relaxed
# Formation energy from raw total energies ... -0.86 eV/atom
# E ... -6.2953 eV/atom
data_Th3ScTe3
_chemical_formula_sum 'Th12 Sc4 Te12'
_space_group_name_H-M_alt 'P n m a'
_space_group_IT_number 62
_cell_length_a 14.719
_cell_length_b 3.988
_cell_length_c 14.037
_cell_angle_alpha 90.00
_cell_angle_beta 90.00
_cell_angle_gamma 90.00
loop_
_space_group_symop_operation_xyz
'x,y,z'
'-x,-y,-z'
'-x+1/2,-y,z+1/2'
'x+1/2,y,-z+1/2'
'x+1/2,-y+1/2,-z+1/2'
'-x+1/2,y+1/2,z+1/2'
'-x,y+1/2,-z'
'x,-y+1/2,z'
loop_
_atom_site_label
_atom_site_fract_x
_atom_site_fract_y
_atom_site_fract_z
_atom_site_occupancy
Th1 0.038 0.250 0.132 1
Th2 0.160 0.750 0.514 1
Th3 0.248 0.250 0.314 1
Sc1 0.091 0.250 0.704 1
Te1 0.039 0.250 0.369 1
Te2 0.124 0.250 0.922 1
Te3 0.212 0.750 0.140 1